Compound: PmZrCd
Source: the Alexandria database
Functional: PBE-GGA
Structure: optimized geometry

Geometry as extended XYZ:
```
3
Lattice="-1.7202 1.7202 6.6080 1.7202 -1.7202 6.6080 1.7202 1.7202 -6.6080" Properties=species:S:1:pos:R:3 pbc="T T T"
Pm 0.0000 0.0000 0.0000
Zr 0.0000 0.0000 4.2815
Cd 0.0000 0.0000 8.9793
```

Calculated values
Magnetic moment, μB/atom: 0.000
Formation energy, eV/atom: -0.0798
SG: I4mm, No. 107
Density of states at the Fermi level, states/eV/atom: 0.58
Energy above the most stable polymorph in this dataset, meV per atom: 0
Uncorrected energy, eV per atom: -4.818

Compound: NbAs3I
Source: the Alexandria database
Functional: PBE-GGA
Structure: optimized geometry

Geometry as extended XYZ:
```
5
Lattice="5.1687 0.0000 0.0000 0.0000 5.1687 0.0000 0.0000 0.0000 5.1687" Properties=species:S:1:pos:R:3 pbc="T T T"
Nb 0.0000 0.0000 0.0000
As 0.0000 2.5843 2.5843
As 2.5843 0.0000 2.5843
As 2.5843 2.5843 0.0000
I 2.5843 2.5843 2.5843
```

Calculated values
Magnetic moment, μB/atom: 0.000
SG: Pm-3m, No. 221
Density of states at the Fermi level, states/eV/atom: 2.48
Energy above the most stable polymorph in this dataset, meV per atom: 1490
Uncorrected energy, eV per atom: -3.371

Compound: CrHg2P
Source: the Alexandria database
Functional: PBE-GGA
Structure: optimized geometry

Geometry as extended XYZ:
```
4
Lattice="3.9973 -1.5329 0.0000 3.9973 1.5329 0.0000 -3.9613 0.0000 7.1982" Properties=species:S:1:pos:R:3 pbc="T T T"
Cr 0.0000 0.0000 0.0000
Hg 0.5267 0.0000 4.8749
Hg 4.5013 0.0000 2.3194
P -1.6323 0.0000 7.1937
```

Calculated values
Magnetic moment, μB/atom: 0.457
Formation energy, eV/atom: 0.1792
SG: Cm, No. 8
Density of states at the Fermi level, states/eV/atom: 0.55
Uncorrected energy, eV per atom: -3.730

Compound: TiFeReI2
Source: the Alexandria database
Functional: PBE-GGA
Structure: optimized geometry

Geometry as extended XYZ:
```
5
Lattice="5.4285 0.0000 0.0000 0.0000 5.4285 0.0000 0.0000 0.0000 4.7914" Properties=species:S:1:pos:R:3 pbc="T T T"
Ti 0.0000 0.0000 0.0000
Fe 2.7143 2.7143 2.3957
Re 0.0000 0.0000 2.3957
I 0.0000 2.7143 0.0000
I 2.7143 0.0000 0.0000
```

Calculated values
Magnetic moment, μB/atom: 1.054
SG: P4/mmm, No. 123
Density of states at the Fermi level, states/eV/atom: 1.18
Uncorrected energy, eV per atom: -4.885

Compound: RbLi3Sb
Source: the Alexandria database
Functional: PBE-GGA
Structure: optimized geometry

Geometry as extended XYZ:
```
5
Lattice="5.3895 0.0000 0.0000 0.0000 5.3895 0.0000 0.0000 0.0000 5.3895" Properties=species:S:1:pos:R:3 pbc="T T T"
Rb 0.0000 0.0000 0.0000
Li 0.0000 2.6948 2.6948
Li 2.6948 0.0000 2.6948
Li 2.6948 2.6948 0.0000
Sb 2.6948 2.6948 2.6948
```

Calculated values
Magnetic moment, μB/atom: 0.000
SG: Pm-3m, No. 221
Density of states at the Fermi level, states/eV/atom: 0.47
Energy above the most stable polymorph in this dataset, meV per atom: 0
Uncorrected energy, eV per atom: -2.478

Compound: Sm2Al9Pd3
Source: the Alexandria database
Functional: PBE-GGA
Structure: optimized geometry

Geometry as extended XYZ:
```
28
Lattice="6.6896 -3.8467 0.0000 6.6896 3.8467 0.0000 -4.4375 0.0000 9.5664" Properties=species:S:1:pos:R:3 pbc="T T T"
Sm 1.1524 0.6468 2.3927
Sm -1.0663 -0.6468 7.1759
Sm 10.0081 0.6468 2.3905
Sm 7.7894 -0.6468 7.1737
Al 5.5727 3.1933 0.6999
Al 5.5878 3.1933 4.0833
Al 1.1476 0.6326 5.4667
Al 4.1990 1.4171 2.4104
Al 1.1402 0.6459 9.0315
Al 3.3663 -0.6326 0.6835
Al 3.3615 0.9622 7.1748
Al 6.9615 1.4171 2.3728
Al 3.3589 -0.6459 4.2483
Al 5.5828 0.6459 5.3180
Al 1.9803 -1.4171 7.1936
Al 5.5802 -0.9622 2.3916
Al 5.5754 0.6326 8.8828
Al 7.8016 -0.6459 0.5348
Al 4.7428 -1.4171 7.1560
Al 7.7941 -0.6326 4.0997
Al 3.3539 -3.1933 5.4831
Al 3.3691 -3.1933 8.8664
Pd 3.3448 1.9233 0.0000
Pd 3.3327 1.9745 4.7845
Pd 3.3904 1.9745 9.5651
Pd 1.1261 -1.9233 4.7832
Pd 5.5514 -1.9745 0.0013
Pd 5.6091 -1.9745 4.7819
```

Calculated values
Magnetic moment, μB/atom: 0.000
Formation energy, eV/atom: -0.6973
SG: C2/c, No. 15
Density of states at the Fermi level, states/eV/atom: 0.35
Uncorrected energy, eV per atom: -4.890

Compound: Ac4AsAuBr2
Source: the Alexandria database
Functional: PBE-GGA
Structure: optimized geometry

Geometry as extended XYZ:
```
8
Lattice="7.9069 0.0000 0.0000 0.0000 4.4993 0.0000 -2.6331 0.0000 7.7083" Properties=species:S:1:pos:R:3 pbc="T T T"
Ac 1.1222 0.0000 1.8142
Ac -0.1594 2.2497 5.6964
Ac 5.4332 2.2497 2.0119
Ac 4.1516 0.0000 5.8941
As -1.3166 0.0000 3.8541
Au 0.0000 2.2497 0.0000
Br 3.9535 0.0000 0.0000
Br 2.6369 2.2497 3.8541
```

Calculated values
Magnetic moment, μB/atom: 0.000
SG: P2/m, No. 10
Density of states at the Fermi level, states/eV/atom: 0.65
Uncorrected energy, eV per atom: -4.674

Compound: Mg5TlIn3
Source: the Alexandria database
Functional: PBE-GGA
Structure: optimized geometry

Geometry as extended XYZ:
```
18
Lattice="8.9815 0.0000 0.0000 -4.4907 7.7782 0.0000 0.0000 0.0000 6.2511" Properties=species:S:1:pos:R:3 pbc="T T T"
Mg -1.3717 2.3759 1.5628
Mg -3.1190 5.4023 4.6884
Mg 2.7435 0.0000 1.5628
Mg 1.3717 2.3759 4.6884
Mg 0.0000 5.1855 0.0000
Mg 0.0000 5.1855 3.1256
Mg 4.4907 2.5927 0.0000
Mg 4.4907 2.5927 3.1256
Mg 6.2380 0.0000 4.6884
Mg 3.1190 5.4023 1.5628
Tl 0.0000 0.0000 0.0000
Tl 0.0000 0.0000 3.1256
In -1.6534 2.8638 4.6884
In -2.8373 4.9144 1.5628
In 3.3068 0.0000 4.6884
In 1.6534 2.8638 1.5628
In 5.6747 0.0000 1.5628
In 2.8373 4.9144 4.6884
```

Calculated values
Magnetic moment, μB/atom: 0.000
Formation energy, eV/atom: -0.0341
SG: P6_3/mcm, No. 193
Density of states at the Fermi level, states/eV/atom: 0.45
Uncorrected energy, eV per atom: -2.096

- The lowest density of states at the Fermi level belongs to which entry?
  Sm2Al9Pd3

- magnetic moment of number 1 (PmZrCd)?
  0.000 μB/atom

- What is the uncorrected energy in the seventh record?
  -4.674 eV per atom